# Ni2MoCl GGA-PBEsol relaxed
data_Ni2MoCl
_cell_length_a 3.531
_cell_length_b 3.531
_cell_length_c 8.161
_cell_angle_alpha 90.00
_cell_angle_beta 90.00
_cell_angle_gamma 90.00
_space_group_name_H-M_alt 'I 4/m m m'
_space_group_IT_number 139
_space_group_name_Hall '-I 4 2'
loop_
_atom_site_label
_atom_site_type_symbol
_atom_site_fract_x
_atom_site_fract_y
_atom_site_fract_z
Ni1 Ni 0.000 0.500 0.250
Mo1 Mo 0.000 0.000 0.000
Cl1 Cl 0.000 0.000 0.500
# - magnetization (μB per atom) = 0.00
# - DOS at the Fermi energy (states/eV per atom) = 1.529
# - raw formation energy (eV/atom) = 0.73

# KAs2HPb GGA-PBEsol relaxed
data_KAs2HPb
_cell_length_a 5.684
_cell_length_b 5.684
_cell_length_c 3.768
_cell_angle_alpha 90.00
_cell_angle_beta 90.00
_cell_angle_gamma 90.00
_space_group_name_H-M_alt 'P 4/m m m'
_space_group_IT_number 123
_space_group_name_Hall '-P 4 2'
loop_
_atom_site_label
_atom_site_type_symbol
_atom_site_fract_x
_atom_site_fract_y
_atom_site_fract_z
K1 K 0.000 0.000 0.000
As1 As 0.000 0.500 0.500
H1 H 0.500 0.500 0.000
Pb1 Pb 0.500 0.500 0.500
# - energy (eV/atom) = -3.348
# - magnetization (μB per atom) = 0.00
# - DOS at the Fermi energy (states/eV per atom) = 0.836

Question: Among the records above, which one has the lowest DOS at the Fermi energy?
Answer: KAs2HPb